one | # Ca2Cu2Ge3

A relaxed structure of Ca2Cu2Ge3 (PBE-GGA, the Alexandria database).

Values from the calculation:
ρ = 5202 kg/m3
Density of states at the Fermi level = 2.97 states/eV/f.u.

Unit cell a=4.334 b=6.818 c=9.439 alpha=90.00 beta=103.27 gamma=90.00
Sites, in units of the cell vectors:
1 Ca 0.160 0.250 0.320
2 Ca 0.840 0.750 0.680
3 Ca 0.944 0.250 0.888
4 Ca 0.056 0.750 0.112
5 Cu 0.690 0.937 0.380
6 Cu 0.310 0.063 0.620
7 Cu 0.310 0.437 0.620
8 Cu 0.690 0.563 0.380
9 Ge 0.225 0.750 0.449
10 Ge 0.775 0.250 0.551
11 Ge 0.563 0.432 0.126
12 Ge 0.437 0.568 0.874
13 Ge 0.437 0.932 0.874
14 Ge 0.563 0.068 0.126

two | # Ca2Cu2Ge3

A relaxed structure of Ca2Cu2Ge3 (PBE-GGA, the Alexandria database).

Values from the calculation:
ρ = 5187 kg/m3
Density of states at the Fermi level = 2.36 states/eV/f.u.

Unit cell a=4.179 b=5.658 c=6.795 alpha=112.47 beta=90.00 gamma=111.68
Sites, in units of the cell vectors:
1 Ca 0.851 0.702 0.218
2 Ca 0.149 0.298 0.782
3 Cu 0.856 0.713 0.735
4 Cu 0.144 0.287 0.265
5 Ge 0.500 0.000 0.000
6 Ge 0.609 0.217 0.445
7 Ge 0.391 0.783 0.555

Least stable structure: two

one | # CaCu3H

A relaxed structure of CaCu3H (PBE-GGA, the Alexandria database).

Values from the calculation:
ρ = 5577 kg/m3
Density of states at the Fermi level = 1.79 states/eV/f.u.

Unit cell a=4.101 b=4.101 c=4.101 alpha=90.00 beta=90.00 gamma=90.00
Sites, in units of the cell vectors:
1 H 0.000 0.000 0.000
2 Ca 0.500 0.500 0.500
3 Cu 0.000 0.500 0.000
4 Cu 0.000 0.000 0.500
5 Cu 0.500 0.000 0.000

two | # CaCu3H

A relaxed structure of CaCu3H (PBE-GGA, the Alexandria database).

Values from the calculation:
ρ = 2353 kg/m3
Density of states at the Fermi level = 3.86 states/eV/f.u.

Unit cell a=5.468 b=5.468 c=5.468 alpha=90.00 beta=90.00 gamma=90.00
Site moments in Bohr magnetons follow the coordinates.
Sites, in units of the cell vectors:
1 H 0.500 0.500 0.500  0.36
2 Ca 0.000 0.000 0.000  0.00
3 Cu 0.000 0.500 0.000  0.00
4 Cu 0.000 0.000 0.500  0.00
5 Cu 0.500 0.000 0.000  0.02

Least stable structure: two

one | # Ca2CuHPt

A relaxed structure of Ca2CuHPt (PBE-GGA, the Alexandria database).

Values from the calculation:
ρ = 6124 kg/m3
Density of states at the Fermi level = 2.35 states/eV/f.u.

Unit cell a=5.087 b=5.087 c=3.560 alpha=90.00 beta=90.00 gamma=90.00
Sites, in units of the cell vectors:
1 H 0.000 0.000 0.000
2 Ca 0.000 0.500 0.000
3 Ca 0.500 0.000 0.000
4 Cu 0.500 0.500 0.500
5 Pt 0.000 0.000 0.500

two | # Ca2CuHPt

A relaxed structure of Ca2CuHPt (PBE-GGA, the Alexandria database).

Values from the calculation:
ρ = 6446 kg/m3
Density of states at the Fermi level = 0.92 states/eV/f.u.

Unit cell a=4.929 b=4.929 c=3.603 alpha=90.00 beta=90.00 gamma=90.00
Sites, in units of the cell vectors:
1 H 0.000 0.000 0.000
2 Ca 0.000 0.500 0.000
3 Ca 0.500 0.000 0.000
4 Cu 0.000 0.000 0.500
5 Pt 0.500 0.500 0.500

Least stable structure: one

one | # Ca2ZnCuH

A relaxed structure of Ca2ZnCuH (PBE-GGA, the Alexandria database).

Values from the calculation:
ρ = 3721 kg/m3
Density of states at the Fermi level = 1.89 states/eV/f.u.

Unit cell a=4.873 b=4.873 c=3.949 alpha=90.00 beta=90.00 gamma=90.00
Sites, in units of the cell vectors:
1 H 0.000 0.000 0.000
2 Zn 0.000 0.000 0.500
3 Ca 0.000 0.500 0.000
4 Ca 0.500 0.000 0.000
5 Cu 0.500 0.500 0.500

two | # Ca2ZnCuH

A relaxed structure of Ca2ZnCuH (PBE-GGA, the Alexandria database).

Values from the calculation:
ρ = 3695 kg/m3
Density of states at the Fermi level = 2.18 states/eV/f.u.

Unit cell a=5.086 b=5.086 c=3.650 alpha=90.00 beta=90.00 gamma=90.00
Sites, in units of the cell vectors:
1 H 0.000 0.000 0.000
2 Zn 0.500 0.500 0.500
3 Ca 0.000 0.500 0.000
4 Ca 0.500 0.000 0.000
5 Cu 0.000 0.000 0.500

Least stable structure: one

one | # CaHfCu2

A relaxed structure of CaHfCu2 (PBE-GGA, the Alexandria database).

Values from the calculation:
ρ = 6468 kg/m3
Density of states at the Fermi level = 4.88 states/eV/f.u.

Unit cell a=7.247 b=7.247 c=6.138 alpha=53.82 beta=53.82 gamma=90.00
Sites, in units of the cell vectors:
1 Ca 0.500 0.500 0.000
2 Ca 0.250 0.750 0.500
3 Hf 0.000 0.000 0.000
4 Hf 0.750 0.250 0.500
5 Cu 0.655 0.125 0.250
6 Cu 0.095 0.625 0.250
7 Cu 0.375 0.345 0.750
8 Cu 0.875 0.905 0.750

two | # CaHfCu2

A relaxed structure of CaHfCu2 (PBE-GGA, the Alexandria database).

Values from the calculation:
ρ = 7364 kg/m3
Density of states at the Fermi level = 3.24 states/eV/f.u.

Unit cell a=3.350 b=3.350 c=6.944 alpha=90.00 beta=90.00 gamma=90.00
Sites, in units of the cell vectors:
1 Ca 0.500 0.500 0.500
2 Hf 0.500 0.500 0.000
3 Cu 0.000 0.000 0.800
4 Cu 0.000 0.000 0.200

Least stable structure: one

one | # CaHf2Cu

A relaxed structure of CaHf2Cu (PBE-GGA, the Alexandria database).

Values from the calculation:
ρ = 8277 kg/m3
Density of states at the Fermi level = 4.65 states/eV/f.u.

Unit cell a=4.083 b=4.083 c=11.454 alpha=79.73 beta=79.73 gamma=90.00
Sites, in units of the cell vectors:
1 Ca 0.500 0.500 0.000
2 Ca 0.250 0.750 0.500
3 Hf 0.641 0.125 0.250
4 Hf 0.109 0.625 0.250
5 Hf 0.375 0.359 0.750
6 Hf 0.875 0.891 0.750
7 Cu 0.000 0.000 0.000
8 Cu 0.750 0.250 0.500

two | # CaHf2Cu

A relaxed structure of CaHf2Cu (PBE-GGA, the Alexandria database).

Values from the calculation:
ρ = 9134 kg/m3
Density of states at the Fermi level = 6.36 states/eV/f.u.

Unit cell a=4.911 b=4.911 c=4.911 alpha=60.00 beta=60.00 gamma=60.00
Sites, in units of the cell vectors:
1 Ca 0.000 0.000 0.000
2 Hf 0.250 0.250 0.250
3 Hf 0.750 0.750 0.750
4 Cu 0.500 0.500 0.500

Least stable structure: one

one | # Ca2HfCu

A relaxed structure of Ca2HfCu (PBE-GGA, the Alexandria database).

Values from the calculation:
ρ = 4985 kg/m3
Density of states at the Fermi level = 4.65 states/eV/f.u.

Unit cell a=8.542 b=8.542 c=6.718 alpha=50.53 beta=50.53 gamma=90.00
Site moments in Bohr magnetons follow the coordinates.
Sites, in units of the cell vectors:
1 Ca 0.558 0.125 0.250  0.04
2 Ca 0.192 0.625 0.250  0.04
3 Ca 0.375 0.442 0.750  0.05
4 Ca 0.875 0.808 0.750  0.04
5 Hf 0.000 0.000 0.000  0.36
6 Hf 0.750 0.250 0.500  0.36
7 Cu 0.500 0.500 0.000  0.01
8 Cu 0.250 0.750 0.500  0.01

two | # Ca2HfCu

A relaxed structure of Ca2HfCu (PBE-GGA, the Alexandria database).

Values from the calculation:
ρ = 5131 kg/m3
Density of states at the Fermi level = 5.09 states/eV/f.u.

Unit cell a=5.283 b=5.283 c=5.283 alpha=60.00 beta=60.00 gamma=60.00
Sites, in units of the cell vectors:
1 Ca 0.250 0.250 0.250
2 Ca 0.750 0.750 0.750
3 Hf 0.500 0.500 0.500
4 Cu 0.000 0.000 0.000

Least stable structure: two

one | # CaCu2Hg2

A relaxed structure of CaCu2Hg2 (PBE-GGA, the Alexandria database).

Values from the calculation:
ρ = 9377 kg/m3
Density of states at the Fermi level = 1.79 states/eV/f.u.

Unit cell a=7.858 b=7.858 c=3.260 alpha=90.00 beta=90.00 gamma=90.00
Sites, in units of the cell vectors:
1 Ca 0.000 0.000 0.000
2 Ca 0.500 0.500 0.000
3 Hg 0.367 0.867 0.000
4 Hg 0.867 0.633 0.000
5 Hg 0.633 0.133 0.000
6 Hg 0.133 0.367 0.000
7 Cu 0.168 0.668 0.500
8 Cu 0.668 0.832 0.500
9 Cu 0.832 0.332 0.500
10 Cu 0.332 0.168 0.500

two | # CaCu2Hg2

A relaxed structure of CaCu2Hg2 (PBE-GGA, the Alexandria database).

Values from the calculation:
ρ = 9578 kg/m3
Density of states at the Fermi level = 1.50 states/eV/f.u.

Unit cell a=7.642 b=7.642 c=3.375 alpha=90.00 beta=90.00 gamma=90.00
Sites, in units of the cell vectors:
1 Ca 0.000 0.000 0.000
2 Ca 0.500 0.500 0.000
3 Hg 0.175 0.675 0.500
4 Hg 0.675 0.825 0.500
5 Hg 0.825 0.325 0.500
6 Hg 0.325 0.175 0.500
7 Cu 0.383 0.883 0.000
8 Cu 0.883 0.617 0.000
9 Cu 0.617 0.117 0.000
10 Cu 0.117 0.383 0.000

Least stable structure: one

one | # Ca2CuHgN

A relaxed structure of Ca2CuHgN (PBE-GGA, the Alexandria database).

Values from the calculation:
ρ = 6063 kg/m3
Density of states at the Fermi level = 2.75 states/eV/f.u.

Unit cell a=5.033 b=5.033 c=3.874 alpha=90.00 beta=90.00 gamma=90.00
Sites, in units of the cell vectors:
1 Ca 0.000 0.500 0.000
2 Ca 0.500 0.000 0.000
3 Hg 0.500 0.500 0.500
4 Cu 0.000 0.000 0.500
5 N 0.000 0.000 0.000

two | # Ca2CuHgN

A relaxed structure of Ca2CuHgN (PBE-GGA, the Alexandria database).

Values from the calculation:
ρ = 5260 kg/m3
Density of states at the Fermi level = 3.80 states/eV/f.u.

Unit cell a=5.655 b=3.537 c=5.655 alpha=90.00 beta=90.00 gamma=90.00
Sites, in units of the cell vectors:
1 Ca 0.000 0.000 0.500
2 Ca 0.500 0.000 0.000
3 Hg 0.500 0.500 0.500
4 Cu 0.000 0.000 0.000
5 N 0.000 0.500 0.000

Least stable structure: two

one | # CaHoCu4

A relaxed structure of CaHoCu4 (PBE-GGA, the Alexandria database).

Values from the calculation:
ρ = 6616 kg/m3
Density of states at the Fermi level = 3.50 states/eV/f.u.

Unit cell a=4.214 b=4.214 c=7.493 alpha=90.00 beta=90.00 gamma=120.00
Sites, in units of the cell vectors:
1 Ca 0.000 0.000 0.500
2 Ho 0.000 0.000 0.000
3 Cu 0.333 0.667 0.229
4 Cu 0.333 0.667 0.771
5 Cu 0.667 0.333 0.229
6 Cu 0.667 0.333 0.771

two | # CaHoCu4

A relaxed structure of CaHoCu4 (PBE-GGA, the Alexandria database).

Values from the calculation:
ρ = 7369 kg/m3
Density of states at the Fermi level = 8.23 states/eV/f.u.

Unit cell a=5.270 b=5.270 c=5.270 alpha=60.00 beta=60.00 gamma=60.00
Sites, in units of the cell vectors:
1 Ca 0.000 0.000 0.000
2 Ho 0.250 0.250 0.250
3 Cu 0.625 0.625 0.124
4 Cu 0.625 0.124 0.625
5 Cu 0.625 0.625 0.625
6 Cu 0.124 0.625 0.625

Least stable structure: two

one | # CaHo2Cu

A relaxed structure of CaHo2Cu (PBE-GGA, the Alexandria database).

Values from the calculation:
ρ = 6013 kg/m3
Density of states at the Fermi level = 5.52 states/eV/f.u.

Unit cell a=3.716 b=3.716 c=10.236 alpha=79.54 beta=79.54 gamma=60.00
Sites, in units of the cell vectors:
1 Ca 0.500 0.500 0.500
2 Ho 0.272 0.272 0.184
3 Ho 0.728 0.728 0.816
4 Cu 0.000 0.000 0.000

two | # CaHo2Cu

A relaxed structure of CaHo2Cu (PBE-GGA, the Alexandria database).

Values from the calculation:
ρ = 6336 kg/m3
Density of states at the Fermi level = 4.05 states/eV/f.u.

Unit cell a=3.511 b=3.511 c=9.215 alpha=90.00 beta=90.00 gamma=90.00
Sites, in units of the cell vectors:
1 Ca 0.500 0.500 0.500
2 Ho 0.000 0.000 0.822
3 Ho 0.000 0.000 0.178
4 Cu 0.500 0.500 0.000

Least stable structure: one

one | # CaHoCuPt

A relaxed structure of CaHoCuPt (PBE-GGA, the Alexandria database).

Values from the calculation:
ρ = 8526 kg/m3
Density of states at the Fermi level = 2.58 states/eV/f.u.

Unit cell a=3.887 b=4.259 c=5.790 alpha=90.00 beta=109.62 gamma=90.00
Sites, in units of the cell vectors:
1 Ca 0.144 0.000 0.288
2 Ho 0.864 0.500 0.729
3 Cu 0.569 0.500 0.139
4 Pt 0.422 0.000 0.844

two | # CaHoCuPt

A relaxed structure of CaHoCuPt (PBE-GGA, the Alexandria database).

Values from the calculation:
ρ = 9129 kg/m3
Density of states at the Fermi level = 2.06 states/eV/f.u.

Unit cell a=4.922 b=4.922 c=4.922 alpha=60.00 beta=60.00 gamma=60.00
Sites, in units of the cell vectors:
1 Ca 0.500 0.500 0.500
2 Cu 0.250 0.250 0.250
3 Ho 0.000 0.000 0.000
4 Pt 0.750 0.750 0.750

Least stable structure: two